Record 1
Computed, not measured: crystalline NaMgIn2H at its relaxed geometry at the GGA-PBE level of DFT.

Results
- crystal system = tetragonal
- energy (eV/atom) = -1.94
- space group = No. 123
- Fermi-level density of states (states/eV/cell) = 1.9

Unit cell a=5.7969 b=3.6491 c=5.7969 alpha=90.00 beta=90.00 gamma=90.00
Closest atoms and distances in Å follow each position.
Fractional positions:
Na  0.0000  0.0000  0.0000  2 H 1.82
Mg  0.5000  0.5000  0.5000  8 In 3.42, 2 Mg 3.65
H  0.0000  0.5000  0.0000  2 Na 1.82
In  0.0000  0.0000  0.5000  2 Na 2.90
In  0.5000  0.0000  0.0000  2 Na 2.90

***

Record 2
Computed, not measured: crystalline MgNbIn2H at its relaxed geometry at the GGA-PBE level of DFT.

Results
- crystal system = tetragonal
- energy (eV/atom) = -3.90
- space group = No. 123
- Fermi-level density of states (states/eV/cell) = 2.2

Unit cell a=4.8155 b=3.7958 c=4.8155 alpha=90.00 beta=90.00 gamma=90.00
Closest atoms and distances in Å follow each position.
Fractional positions:
H  0.0000  0.0000  0.0000  2 Nb 1.90
Nb  0.0000  0.5000  0.0000  2 H 1.90
Mg  0.5000  0.5000  0.5000  8 In 3.07, 4 Nb 3.41
In  0.0000  0.0000  0.5000  2 H 2.41
In  0.5000  0.0000  0.0000  2 H 2.41

***

Record 3
Computed, not measured: crystalline Mg2InNiH at its relaxed geometry at the GGA-PBE level of DFT.

Results
- crystal system = tetragonal
- energy (eV/atom) = -3.09
- space group = No. 123
- Fermi-level density of states (states/eV/cell) = 1.8

Unit cell a=4.7117 b=4.7117 c=3.3823 alpha=90.00 beta=90.00 gamma=90.00
Closest atoms and distances in Å follow each position.
Fractional positions:
Ni  0.0000  0.0000  0.5000  2 H 1.69
Mg  0.0000  0.5000  0.0000  2 H 2.36
Mg  0.5000  0.0000  0.0000  2 H 2.36
H  0.0000  0.0000  0.0000  2 Ni 1.69
In  0.5000  0.5000  0.5000  8 Mg 2.90

***

Record 4
Computed, not measured: crystalline Mg2InHPb at its relaxed geometry at the GGA-PBE level of DFT.

Results
- crystal system = tetragonal
- energy (eV/atom) = -2.51
- distance to the lowest polymorph of the same formula (meV/atom) = 20
- space group = No. 123
- Fermi-level density of states (states/eV/cell) = 1.2

Unit cell a=4.6850 b=4.6850 c=4.7118 alpha=90.00 beta=90.00 gamma=90.00
Closest atoms and distances in Å follow each position.
Fractional positions:
Pb  0.0000  0.0000  0.5000  2 H 2.36
H  0.0000  0.0000  0.0000  4 Mg 2.34, 2 Pb 2.36
Mg  0.0000  0.5000  0.0000  2 H 2.34
Mg  0.5000  0.0000  0.0000  2 H 2.34
In  0.5000  0.5000  0.5000  4 Pb 3.31, 8 Mg 3.32

***

Record 5
Computed, not measured: crystalline Mg2InHPb at its relaxed geometry at the GGA-PBE level of DFT.

Results
- crystal system = tetragonal
- energy (eV/atom) = -2.53
- distance to the lowest polymorph of the same formula (meV/atom) = 0
- space group = No. 123
- Fermi-level density of states (states/eV/cell) = 1.9

Unit cell a=4.6781 b=4.6781 c=4.7032 alpha=90.00 beta=90.00 gamma=90.00
Closest atoms and distances in Å follow each position.
Fractional positions:
Pb  0.5000  0.5000  0.5000  4 In 3.31, 8 Mg 3.32
H  0.0000  0.0000  0.0000  4 Mg 2.34, 2 In 2.35
Mg  0.0000  0.5000  0.0000  2 H 2.34
Mg  0.5000  0.0000  0.0000  2 H 2.34
In  0.0000  0.0000  0.5000  2 H 2.35

***

Record 6
Computed, not measured: crystalline MgIn2HPd at its relaxed geometry at the GGA-PBE level of DFT.

Results
- crystal system = tetragonal
- energy (eV/atom) = -3.15
- space group = No. 123
- Fermi-level density of states (states/eV/cell) = 2.0

Unit cell a=4.6627 b=3.9324 c=4.6627 alpha=90.00 beta=90.00 gamma=90.00
Closest atoms and distances in Å follow each position.
Fractional positions:
H  0.0000  0.0000  0.0000  2 Mg 1.97
Mg  0.0000  0.5000  0.0000  2 H 1.97
Pd  0.5000  0.5000  0.5000  8 In 3.05, 4 Mg 3.30
In  0.0000  0.0000  0.5000  2 H 2.33
In  0.5000  0.0000  0.0000  2 H 2.33